1.
FeSnI2, relaxed, DFT PBE-GGA; polymorph energy (0 for the lowest one) = 1.75 kcal/mol of atoms; symmetry = No. 122; uncorrected formation energy = 382 meV per atom; D(E_F) = 9.84 states/eV/cell
1.0
7.376 0.000 0.000
0.000 7.376 0.000
0.000 0.000 10.589
Fe Sn I
4 4 8
Direct
0.000 0.000 0.000
0.000 0.500 0.250
0.500 0.000 0.750
0.500 0.500 0.500
0.000 0.000 0.500
0.000 0.500 0.750
0.500 0.000 0.250
0.500 0.500 0.000
0.174 0.250 0.125
0.250 0.674 0.375
0.250 0.826 0.875
0.326 0.250 0.625
0.674 0.750 0.625
0.750 0.174 0.875
0.750 0.326 0.375
0.826 0.750 0.125

2.
FeSn2I, relaxed, DFT PBE-GGA; polymorph energy (0 for the lowest one) = 0.00 kcal/mol of atoms; symmetry = No. 122; uncorrected formation energy = 432 meV per atom; D(E_F) = 16.41 states/eV/cell
1.0
6.384 0.000 0.000
0.000 6.384 0.000
0.000 0.000 13.649
Fe Sn I
4 8 4
Direct
0.000 0.000 0.000
0.000 0.500 0.250
0.500 0.000 0.750
0.500 0.500 0.500
0.133 0.250 0.125
0.250 0.633 0.375
0.250 0.867 0.875
0.367 0.250 0.625
0.633 0.750 0.625
0.750 0.133 0.875
0.750 0.367 0.375
0.867 0.750 0.125
0.000 0.000 0.500
0.000 0.500 0.750
0.500 0.000 0.250
0.500 0.500 0.000

3.
FeSnI2, relaxed, DFT PBE-GGA; polymorph energy (0 for the lowest one) = 0.00 kcal/mol of atoms; symmetry = No. 166; uncorrected formation energy = 306 meV per atom; D(E_F) = 8.58 states/eV/cell
1.0
3.787 0.000 0.000
-1.894 3.280 0.000
0.000 0.000 28.076
Fe Sn I
3 3 6
Direct
0.000 0.000 0.000
0.333 0.667 0.667
0.667 0.333 0.333
0.000 0.000 0.500
0.333 0.667 0.167
0.667 0.333 0.833
0.000 0.000 0.384
0.000 0.000 0.616
0.333 0.667 0.050
0.333 0.667 0.283
0.667 0.333 0.717
0.667 0.333 0.950

4.
FeSn2I6, relaxed, DFT PBE-GGA; symmetry = No. 12; uncorrected formation energy = -286 meV per atom; D(E_F) = 2.27 states/eV/cell
1.0
7.930 -2.199 0.000
7.930 2.199 0.000
-6.563 0.000 11.385
Fe Sn I
1 2 6
Direct
0.000 0.000 0.000
0.318 0.318 0.687
0.682 0.682 0.313
0.008 0.008 0.220
0.191 0.191 0.109
0.346 0.346 0.467
0.654 0.654 0.533
0.809 0.809 0.891
0.992 0.992 0.780

5.
FeSn3I, relaxed, DFT PBE-GGA; polymorph energy (0 for the lowest one) = 0.00 kcal/mol of atoms; symmetry = No. 221; uncorrected formation energy = -5 meV per atom; D(E_F) = 3.96 states/eV/cell
1.0
4.995 0.000 0.000
0.000 4.995 0.000
0.000 0.000 4.995
Fe Sn I
1 3 1
Direct
0.000 0.000 0.000
0.000 0.000 0.500
0.000 0.500 0.000
0.500 0.000 0.000
0.500 0.500 0.500

6.
SrFe2I7, relaxed, DFT PBE-GGA; symmetry = No. 65; uncorrected formation energy = -414 meV per atom; D(E_F) = 6.83 states/eV/cell
1.0
6.070 -7.993 0.000
6.070 7.993 0.000
0.000 0.000 5.596
Sr Fe I
1 2 7
Direct
0.000 0.000 0.000
0.281 0.281 0.500
0.719 0.719 0.500
0.022 0.284 0.500
0.280 0.280 0.000
0.284 0.022 0.500
0.500 0.500 0.500
0.716 0.978 0.500
0.720 0.720 0.000
0.978 0.716 0.500

7.
SrFeI4, relaxed, DFT PBE-GGA; symmetry = No. 82; uncorrected formation energy = -805 meV per atom; D(E_F) = 13.74 states/eV/cell
1.0
7.699 0.000 0.000
0.000 7.699 0.000
0.000 0.000 9.361
Sr Fe I
2 2 8
Direct
0.000 0.000 0.000
0.500 0.500 0.500
0.000 0.500 0.750
0.500 0.000 0.250
0.191 0.259 0.625
0.241 0.691 0.875
0.259 0.809 0.375
0.309 0.241 0.125
0.691 0.759 0.125
0.741 0.191 0.375
0.759 0.309 0.875
0.809 0.741 0.625

8.
SrFe2I, relaxed, DFT PBE-GGA; polymorph energy (0 for the lowest one) = 0.00 kcal/mol of atoms; symmetry = No. 122; uncorrected formation energy = 783 meV per atom; D(E_F) = 32.24 states/eV/cell
1.0
8.244 0.000 0.000
0.000 8.244 0.000
0.000 0.000 6.069
Sr Fe I
4 8 4
Direct
0.000 0.000 0.000
0.000 0.500 0.250
0.500 0.000 0.750
0.500 0.500 0.500
0.196 0.250 0.625
0.250 0.696 0.875
0.250 0.804 0.375
0.304 0.250 0.125
0.696 0.750 0.125
0.750 0.196 0.375
0.750 0.304 0.875
0.804 0.750 0.625
0.000 0.000 0.500
0.000 0.500 0.750
0.500 0.000 0.250
0.500 0.500 0.000

- What is the formula in the fifth record?
  FeSn3I